Record 1
Compound: HfF
Source: Alexandria
Functional: GGA-PBE
Structure: relaxed

- Calculated volume: 245 Å³/cell
- Formation energy (no corrections): -0.69 eV/atom
- Magnetic moment: 0.0001 μB per atom

a = 6.256 Å, b = 6.256 Å, c = 6.256 Å
α = 90.00°, β = 90.00°, γ = 90.00°
Fractional positions:
Hf: 0.500 0.000 0.250
F: 0.250 0.000 0.500
Hf: 0.750 0.500 0.000
F: 0.000 0.500 0.750
F: 0.750 0.000 0.500
Hf: 0.500 0.000 0.750
F: 0.000 0.500 0.250
Hf: 0.000 0.750 0.500
Hf: 0.250 0.500 0.000
F: 0.500 0.750 0.000
Hf: 0.000 0.250 0.500
F: 0.500 0.250 0.000

=====

Record 2
Compound: MnBeC3
Source: Alexandria
Functional: GGA-PBE
Structure: relaxed

- Calculated volume: 41 Å³/cell
- Energy relative to the elements: 229.1 kJ/mol of atoms
- Magnetic moment: 0.0000 μB per atom

a = 3.449 Å, b = 3.449 Å, c = 3.449 Å
α = 90.00°, β = 90.00°, γ = 90.00°
Fractional positions:
C: 0.000 0.000 0.500
Mn: 0.500 0.500 0.500
Be: 0.000 0.000 0.000
C: 0.000 0.500 0.000
C: 0.500 0.000 0.000

=====

Record 3
Compound: Tm3ZrN4
Source: Alexandria
Functional: GGA-PBE
Structure: relaxed

- Calculated volume: 107 Å³/cell
- Formation energy (no corrections): -1.80 eV/atom
- Magnetic moment: 0.0000 μB per atom

a = 4.749 Å, b = 4.749 Å, c = 4.749 Å
α = 90.00°, β = 90.00°, γ = 90.00°
Fractional positions:
Tm: 0.500 0.500 0.000
Zr: 0.000 0.000 0.000
N: 0.500 0.500 0.500
N: 0.000 0.500 0.000
N: 0.500 0.000 0.000
Tm: 0.000 0.500 0.500
Tm: 0.500 0.000 0.500
N: 0.000 0.000 0.500

=====

Record 4
Compound: BeNiSe2
Source: Alexandria
Functional: GGA-PBE
Structure: relaxed

- Calculated volume: 65 Å³/cell
- Formation energy (no corrections): 0.14 eV/atom
- Magnetic moment: 0.0000 μB per atom

a = 3.381 Å, b = 4.447 Å, c = 4.412 Å
α = 78.69°, β = 90.00°, γ = 90.00°
Fractional positions:
Be: 0.500 0.250 0.250
Se: 0.000 0.999 0.999
Ni: 0.500 0.750 0.750
Se: 0.000 0.501 0.501

=====

Record 5
Compound: CsBaHgBr2
Source: Alexandria
Functional: GGA-PBE
Structure: relaxed

- Calculated volume: 279 Å³/cell
- Formation energy (no corrections): -1.25 eV/atom
- Magnetic moment: 0.0000 μB per atom

a = 6.338 Å, b = 6.338 Å, c = 6.939 Å
α = 90.00°, β = 90.00°, γ = 90.00°
Fractional positions:
Hg: 0.000 0.000 0.500
Br: 0.500 0.000 0.000
Cs: 0.500 0.500 0.500
Br: 0.000 0.500 0.000
Ba: 0.000 0.000 0.000

=====

Record 6
Compound: CrFe3Tc
Source: Alexandria
Functional: GGA-PBE
Structure: relaxed

- Calculated volume: 70 Å³/cell
- Energy relative to the elements: 122.0 kJ/mol of atoms
- Magnetic moment: 1.0661 μB per atom

a = 4.126 Å, b = 4.126 Å, c = 4.126 Å
α = 90.00°, β = 90.00°, γ = 90.00°
Last column: magnetic moment on the atom in μB.
Fractional positions:
Cr: 0.000 0.000 0.000  -0.84
Fe: 0.500 0.000 0.000  1.46
Fe: 0.000 0.000 0.500  1.60
Fe: 0.000 0.500 0.000  1.58
Tc: 0.500 0.500 0.500  1.39